[1]
LiCdPd2 after structural relaxation. Source: Alexandria, functional PBE.

M_tot: 0.00 μB/atom
SG: P4/mmm
DFT formation energy: -0.420 eV/atom

Unit cell a=3.0827 b=3.0827 c=6.5304 alpha=90.00 beta=90.00 gamma=90.00
Element x y z (fractional)
1 Li 0.0000 0.0000 0.0000
2 Cd 0.0000 0.0000 0.5000
3 Pd 0.5000 0.5000 0.2223
4 Pd 0.5000 0.5000 0.7777


[2]
Li4Cd2Pd3 after structural relaxation. Source: Alexandria, functional PBE.

M_tot: 0.00 μB/atom
SG: C2/m
offset from the most stable computed form: 0.000 eV/atom
DFT formation energy: -0.396 eV/atom

Unit cell a=4.8070 b=4.8070 c=8.2735 alpha=104.48 beta=104.48 gamma=50.33
Element x y z (fractional)
1 Li 0.0134 0.0134 0.3505
2 Li 0.3358 0.3358 0.1114
3 Li 0.6642 0.6642 0.8886
4 Li 0.9866 0.9866 0.6495
5 Cd 0.3324 0.3324 0.7750
6 Cd 0.6676 0.6676 0.2250
7 Pd 0.0000 0.0000 0.0000
8 Pd 0.3357 0.3357 0.4333
9 Pd 0.6643 0.6643 0.5667